Entry 1:
## Dy7Zn2Pt2 (PBE)

Data for Dy7Zn2Pt2 after structural relaxation. Values from VASP.

## Properties
magnetization: 0.00 μB/cell
ΔE_f: -451 meV/atom
crystal system: orthorhombic

Cell and atoms, written as Quantum ESPRESSO input:
```
&SYSTEM
  ibrav = 0, nat = 11, ntyp = 3
/
ATOMIC_SPECIES
Dy 162.50 Dy.upf
Zn 65.41 Zn.upf
Pt 195.08 Pt.upf
ATOMIC_POSITIONS angstrom
Dy 0.000 0.000 0.000
Dy 1.972 2.704 1.865
Dy 1.972 2.704 5.223
Dy 1.972 -2.704 1.865
Dy 1.972 -2.704 5.223
Dy 3.945 0.000 1.826
Dy 3.945 0.000 5.262
Zn 1.328 0.000 3.544
Zn 6.562 0.000 3.544
Pt 3.945 2.286 0.000
Pt 3.945 -2.286 0.000
CELL_PARAMETERS angstrom
3.945 -5.409 0.000
3.945 5.409 0.000
0.000 0.000 7.088
```



Entry 2:
## Dy2ZnPt (PBE)

Data for Dy2ZnPt after structural relaxation. Values from VASP.

## Properties
magnetization: 0.00 μB/cell
ΔE_f: 8 meV/atom
crystal system: trigonal

Cell and atoms, written as Quantum ESPRESSO input:
```
&SYSTEM
  ibrav = 0, nat = 12, ntyp = 3
/
ATOMIC_SPECIES
Dy 162.50 Dy.upf
Zn 65.41 Zn.upf
Pt 195.08 Pt.upf
ATOMIC_POSITIONS angstrom
Dy 0.000 0.000 2.665
Dy 0.000 0.000 27.680
Dy 0.000 1.893 17.565
Dy 0.000 1.893 22.894
Dy 1.639 0.946 7.450
Dy 1.639 0.946 12.779
Zn 0.000 0.000 15.172
Zn 0.000 1.893 5.057
Zn 1.639 0.946 25.287
Pt 0.000 0.000 0.000
Pt 0.000 1.893 20.230
Pt 1.639 0.946 10.115
CELL_PARAMETERS angstrom
3.278 0.000 0.000
-1.639 2.839 0.000
0.000 0.000 30.345
```



Entry 3:
## DyZn2Pt2 (PBE)

Data for DyZn2Pt2 after structural relaxation. Values from VASP.

## Properties
magnetization: 0.00 μB/cell
ΔE_f: -824 meV/atom
crystal system: tetragonal

Cell and atoms, written as Quantum ESPRESSO input:
```
&SYSTEM
  ibrav = 0, nat = 10, ntyp = 3
/
ATOMIC_SPECIES
Dy 162.50 Dy.upf
Zn 65.41 Zn.upf
Pt 195.08 Pt.upf
ATOMIC_POSITIONS angstrom
Dy 0.000 0.000 0.000
Dy 1.905 1.905 6.349
Zn 0.000 1.905 3.174
Zn 0.000 1.905 9.523
Zn 1.905 0.000 3.174
Zn 1.905 0.000 9.523
Pt 0.000 0.000 4.992
Pt 0.000 0.000 7.705
Pt 1.905 1.905 1.357
Pt 1.905 1.905 11.340
CELL_PARAMETERS angstrom
3.810 0.000 0.000
0.000 3.810 0.000
0.000 0.000 12.697
```



Q: What is the magnetization in the first record?
A: 0.00 μB/cell



Q: magnetization of number 3 (DyZn2Pt2)?
A: 0.00 μB/cell